A plane-wave DFT calculation with GGA-PBE was carried out for a relaxed structure of LiMgPd4.

Computed properties:
* theoretical density: 8.5 g cm⁻³
* relative energy among the computed polymorphs: 0.000 eV/atom
* ΔE_f: -2.51 eV/f.u.
* total magnetization: 0.0 μB per formula unit

abc: 2.828 7.923 8.118
angles: 90.00 100.03 90.00
Element x y z (fractional)
Pd 0.827 0.528 0.654
Pd 0.827 0.972 0.654
Pd 0.000 0.000 0.000
Pd 0.173 0.028 0.346
Pd 0.594 0.750 0.188
Pd 0.406 0.250 0.812
Pd 0.173 0.472 0.346
Pd 0.000 0.500 0.000
Li 0.759 0.250 0.518
Li 0.241 0.750 0.482
Mg 0.578 0.250 0.156
Mg 0.422 0.750 0.844